{
  "formula": "LiRePd2",
  "functional": "GGA-PBE",
  "state": "relaxed",
  "sg": "No. 123",
  "e_form_ev_per_atom": -0.088,
  "polymorph_energy_kj_per_mol_fu": 0.0,
  "lattice_angstrom": [[2.767, 0.000, 0.000], [0.000, 2.767, 0.000], [0.000, 0.000, 7.437]],
  "species": ["Pd", "Pd", "Li", "Re"],
  "fractional_positions": [[0.000, 0.000, 0.741], [0.000, 0.000, 0.259], [0.500, 0.500, 0.500], [0.500, 0.500, 0.000]]
}

{
  "formula": "MgTe2Pd2",
  "functional": "GGA-PBE",
  "state": "relaxed",
  "sg": "No. 127",
  "formation_energy_uncorrected_kj_per_mol_fu": -116,
  "lattice_angstrom": [[7.657, 0.000, 0.000], [0.000, 7.657, 0.000], [0.000, 0.000, 3.740]],
  "species": ["Mg", "Mg", "Te", "Pd", "Pd", "Te", "Pd", "Te", "Te", "Pd"],
  "fractional_positions": [[0.500, 0.500, 0.000], [0.000, 0.000, 0.000], [0.670, 0.170, 0.000], [0.634, 0.866, 0.500], [0.366, 0.134, 0.500], [0.330, 0.830, 0.000], [0.134, 0.634, 0.500], [0.830, 0.670, 0.000], [0.170, 0.330, 0.000], [0.866, 0.366, 0.500]]
}

{
  "formula": "Tb8SiTe3S3",
  "functional": "GGA-PBE",
  "state": "relaxed",
  "sg": "No. 166",
  "formation_energy_uncorrected_kj_per_mol_fu": -2100,
  "lattice_angstrom": [[-4.937, 1.911, -6.182], [7.751, -2.016, -1.455], [-5.379, -6.005, 2.440]],
  "species": ["S", "Tb", "S", "Tb", "Si", "Te", "S", "Tb", "Tb", "Tb", "Te", "Tb", "Tb", "Tb", "Te"],
  "fractional_positions": [[0.500, 0.500, 0.500], [0.735, 0.469, 0.703], [0.500, 0.000, 0.500], [0.759, 0.517, 0.284], [0.000, 0.000, 0.500], [0.000, 0.000, 0.000], [0.000, 0.500, 0.500], [0.759, 0.026, 0.285], [0.266, 0.026, 0.285], [0.241, 0.483, 0.716], [0.500, 0.500, 0.000], [0.241, 0.974, 0.715], [0.265, 0.531, 0.297], [0.734, 0.974, 0.715], [0.000, 0.500, 0.000]]
}

{
  "formula": "YTl2",
  "functional": "GGA-PBE",
  "state": "relaxed",
  "sg": "No. 194",
  "e_form_ev_per_atom": -0.207,
  "lattice_angstrom": [[-2.057, -4.691, 1.783], [3.743, 0.003, -3.925], [4.728, -0.360, 4.508]],
  "species": ["Tl", "Tl", "Tl", "Y", "Y", "Tl"],
  "fractional_positions": [[0.667, 0.333, 0.750], [0.333, 0.667, 0.250], [0.000, 0.000, 0.500], [0.667, 0.333, 0.250], [0.333, 0.667, 0.750], [0.000, 0.000, 0.000]]
}

{
  "formula": "SmDy5Sn4",
  "functional": "GGA-PBE",
  "state": "relaxed",
  "sg": "No. 12",
  "e_form_ev_per_atom": -0.410,
  "lattice_angstrom": [[-3.260, 2.832, -0.916], [-5.445, -5.710, 1.728], [2.808, 2.506, 8.387]],
  "species": ["Sn", "Dy", "Sm", "Sn", "Sn", "Dy", "Dy", "Dy", "Dy", "Sn"],
  "fractional_positions": [[0.964, 0.722, 0.929], [0.205, 0.305, 0.410], [0.500, 0.000, 0.000], [0.311, 0.989, 0.622], [0.036, 0.278, 0.071], [0.500, 0.500, 0.000], [0.795, 0.695, 0.590], [0.860, 0.277, 0.721], [0.140, 0.723, 0.279], [0.689, 0.011, 0.378]]
}

{
  "formula": "NdHo2Sc7",
  "functional": "GGA-PBE",
  "state": "relaxed",
  "sg": "No. 65",
  "e_form_ev_per_atom": 0.609,
  "lattice_angstrom": [[-3.144, -3.919, 0.014], [2.947, -2.342, 6.491], [-7.244, 5.816, 1.050]],
  "species": ["Ho", "Sc", "Sc", "Sc", "Sc", "Nd", "Sc", "Sc", "Sc", "Ho"],
  "fractional_positions": [[0.500, 0.737, 0.475], [0.500, 0.705, 0.806], [0.000, 0.407, 0.815], [0.500, 0.295, 0.194], [0.000, 0.593, 0.185], [0.000, 0.000, 0.000], [0.500, 0.101, 0.806], [0.500, 0.899, 0.194], [0.500, 0.500, 0.000], [0.500, 0.263, 0.525]]
}

| no. | uncorrected energy (eV/atom) |
| --- | --- |
| 1 | -6.2745 |
| 2 | -3.8937 |
| 3 | -5.7359 |
| 4 | -3.9396 |
| 5 | -4.7839 |
| 6 | -5.2153 |